Here is crystalline CuAgTe2 at its relaxed geometry from the Alexandria database. Energies are from PBE.

Formation energy from raw total energies   0.31 eV/atom
Fermi-level density of states   0.49 states/eV/atom

Cell: 5.993 7.825 3.900 Å, 90.00 90.00 90.00°
Space group Cmmm (No. 65)
Inequivalent atoms, fractional coordinates:
Cu 0.000 0.000 0.000 x2
Ag 0.000 0.500 0.000 x2
Te 0.250 0.250 0.500 x4



Here is crystalline Cu2AgTe8 at its relaxed geometry from the Alexandria database. Energies are from PBE.

Formation energy from raw total energies   0.06 eV/atom
Fermi-level density of states   0.52 states/eV/atom

Cell: 10.722 8.405 7.258 Å, 90.00 100.30 90.00°
Space group C2/m (No. 12)
Inequivalent atoms, fractional coordinates:
Cu 0.213 0.000 0.304 x4
Ag 0.000 0.000 0.000 x2
Te 0.042 0.500 0.688 x4
Te 0.126 0.000 0.614 x4
Te 0.165 0.270 0.135 x8



Fermi-level density of states of number 2 (Cu2AgTe8)?
0.52 states/eV/atom